--- P ---
! MgBeTc2 | the Alexandria database | PBE | optimized geometry; values from VASP
&SYSTEM
  ibrav = 0, nat = 4, ntyp = 3
/
ATOMIC_SPECIES
Be 9.01 Be.upf
Mg 24.30 Mg.upf
Tc 98.00 Tc.upf
CELL_PARAMETERS angstrom
-1.8800 -2.2776 -0.6881
1.6580 -1.8826 1.7015
-3.4886 1.3886 4.9359
ATOMIC_POSITIONS angstrom
Be -0.9832 -1.7329 1.7407
Mg -2.7275 -1.0387 4.2086
Tc -0.2246 0.0894 0.3178
Tc -1.5197 0.6049 2.1502
! DOS at the Fermi energy	0.8442	states/eV/atom

***

--- Q ---
! MgBeTc2 | the Alexandria database | PBE | optimized geometry; values from VASP
&SYSTEM
  ibrav = 0, nat = 4, ntyp = 3
/
ATOMIC_SPECIES
Mg 24.30 Mg.upf
Tc 98.00 Tc.upf
Be 9.01 Be.upf
CELL_PARAMETERS angstrom
-0.7385 -2.4789 3.3852
3.5132 1.5442 1.8496
-3.0158 2.6641 -1.3685
ATOMIC_POSITIONS angstrom
Mg 0.9425 1.8707 1.5489
Tc 0.4941 4.2055 0.4817
Be -1.6283 2.1964 1.2494
Tc -1.1806 -0.1383 2.3163
! DOS at the Fermi energy	0.2613	states/eV/atom

***

The relative energies come out as P 78; Q 0, with values in meV/atom.

***

--- P ---
! MgBeTc2 | the Alexandria database | PBE | optimized geometry; values from VASP
&SYSTEM
  ibrav = 0, nat = 4, ntyp = 3
/
ATOMIC_SPECIES
Tc 98.00 Tc.upf
Be 9.01 Be.upf
Mg 24.30 Mg.upf
CELL_PARAMETERS angstrom
-0.4268 -0.5677 -2.5481
-0.7266 -2.1912 1.2915
-7.5635 2.8771 0.6260
ATOMIC_POSITIONS angstrom
Tc -0.2507 0.0954 0.0208
Be -2.4676 -0.6602 -0.4718
Mg -6.2493 0.7784 -0.1588
Tc -3.5310 1.3432 0.2923
! DOS at the Fermi energy	0.7908	states/eV/atom

***

--- Q ---
! MgBeTc2 | the Alexandria database | PBE | optimized geometry; values from VASP
&SYSTEM
  ibrav = 0, nat = 8, ntyp = 3
/
ATOMIC_SPECIES
Be 9.01 Be.upf
Tc 98.00 Tc.upf
Mg 24.30 Mg.upf
CELL_PARAMETERS angstrom
3.7109 0.0000 0.0000
0.0000 3.7109 0.0000
1.8554 1.8554 9.0979
ATOMIC_POSITIONS angstrom
Be 1.8554 1.8554 0.0000
Tc 1.1228 0.9277 2.2745
Tc 4.6386 2.9782 6.8234
Mg 3.7109 1.8554 4.5489
Mg 0.0000 0.0000 0.0000
Tc 2.5881 2.7831 2.2745
Tc 2.7831 4.4435 6.8234
Be 1.8554 3.7109 4.5489
! DOS at the Fermi energy	0.5938	states/eV/atom

***

--- R ---
! MgBeTc2 | the Alexandria database | PBE | optimized geometry; values from VASP
&SYSTEM
  ibrav = 0, nat = 4, ntyp = 3
/
ATOMIC_SPECIES
Be 9.01 Be.upf
Mg 24.30 Mg.upf
Tc 98.00 Tc.upf
CELL_PARAMETERS angstrom
-0.7958 -2.8897 0.2355
1.4036 -0.5977 -2.5907
5.3671 -1.2182 3.1889
ATOMIC_POSITIONS angstrom
Be 2.4853 -0.5641 1.4766
Mg 4.2415 -2.6375 1.1619
Tc 0.2188 -0.0497 0.1300
Tc 1.7128 -2.0635 -0.3405
! DOS at the Fermi energy	0.3450	states/eV/atom

***

The relative energies come out as P 166; Q 574; R 0, with values in meV/atom.

***

--- P ---
! Mg3BeTc | the Alexandria database | PBE | optimized geometry; values from VASP
&SYSTEM
  ibrav = 0, nat = 5, ntyp = 3
/
ATOMIC_SPECIES
Mg 24.30 Mg.upf
Tc 98.00 Tc.upf
Be 9.01 Be.upf
CELL_PARAMETERS angstrom
4.9623 0.0000 0.0000
0.0000 4.9623 0.0000
0.0000 0.0000 4.9623
ATOMIC_POSITIONS angstrom
Mg 0.0000 2.4812 0.0000
Tc 0.0000 0.0000 0.0000
Be 2.4812 2.4812 2.4812
Mg 0.0000 0.0000 2.4812
Mg 2.4812 0.0000 0.0000
! DOS at the Fermi energy	0.7770	states/eV/atom

***

--- Q ---
! Mg3BeTc | the Alexandria database | PBE | optimized geometry; values from VASP
&SYSTEM
  ibrav = 0, nat = 5, ntyp = 3
/
ATOMIC_SPECIES
Tc 98.00 Tc.upf
Mg 24.30 Mg.upf
Be 9.01 Be.upf
CELL_PARAMETERS angstrom
-0.6038 -0.9557 -4.4296
-3.4001 -2.8587 1.0803
-2.9958 3.4371 -0.3332
ATOMIC_POSITIONS angstrom
Tc -3.4998 -0.1887 -1.8413
Mg -1.7000 -1.4294 0.5401
Be 0.0000 0.0000 0.0000
Mg -1.4979 1.7186 -0.1666
Mg -0.3019 -0.4779 -2.2148
! DOS at the Fermi energy	0.6090	states/eV/atom

***

The relative energies come out as P 362; Q 0, with values in meV/atom.

***

--- P ---
! MgBeTc | the Alexandria database | PBE | optimized geometry; values from VASP
&SYSTEM
  ibrav = 0, nat = 6, ntyp = 3
/
ATOMIC_SPECIES
Mg 24.30 Mg.upf
Tc 98.00 Tc.upf
Be 9.01 Be.upf
CELL_PARAMETERS angstrom
-2.8306 0.9788 0.5723
-0.4965 -2.5443 1.8957
3.0969 4.7520 7.1890
ATOMIC_POSITIONS angstrom
Mg 0.5272 2.5789 6.3196
Tc 2.8058 3.4140 8.0373
Mg -0.7729 1.4751 1.7773
Tc 1.5056 2.3102 3.4950
Be 1.4879 4.9442 7.0256
Be -0.3088 1.2961 4.3789
! DOS at the Fermi energy	1.0193	states/eV/atom

***

--- Q ---
! MgBeTc | the Alexandria database | PBE | optimized geometry; values from VASP
&SYSTEM
  ibrav = 0, nat = 3, ntyp = 3
/
ATOMIC_SPECIES
Tc 98.00 Tc.upf
Be 9.01 Be.upf
Mg 24.30 Mg.upf
CELL_PARAMETERS angstrom
-1.8995 2.0459 -2.8271
-2.8160 -1.7651 -2.1773
-3.8130 1.0013 0.4946
ATOMIC_POSITIONS angstrom
Tc -4.2643 0.6410 -2.2549
Be -6.3964 0.9616 -3.3823
Mg 0.0000 0.0000 0.0000
! DOS at the Fermi energy	0.7233	states/eV/atom

***

--- R ---
! MgBeTc | the Alexandria database | PBE | optimized geometry; values from VASP
&SYSTEM
  ibrav = 0, nat = 3, ntyp = 3
/
ATOMIC_SPECIES
Be 9.01 Be.upf
Mg 24.30 Mg.upf
Tc 98.00 Tc.upf
CELL_PARAMETERS angstrom
-1.0788 0.8183 4.0389
-2.0569 -3.0248 -2.1829
1.7431 -1.7819 0.8266
ATOMIC_POSITIONS angstrom
Be -0.5379 -2.9633 0.4567
Mg 0.3260 -2.2321 2.7857
Tc 0.7596 -0.7765 0.3602
! DOS at the Fermi energy	0.7102	states/eV/atom

***

The relative energies come out as P 0; Q 276; R 52, with values in meV/atom.

***

--- P ---
! Mg2Be2Tc | the Alexandria database | PBE | optimized geometry; values from VASP
&SYSTEM
  ibrav = 0, nat = 10, ntyp = 3
/
ATOMIC_SPECIES
Be 9.01 Be.upf
Mg 24.30 Mg.upf
Tc 98.00 Tc.upf
CELL_PARAMETERS angstrom
6.9007 0.0000 0.0000
0.0000 6.9007 0.0000
0.0000 0.0000 2.8507
ATOMIC_POSITIONS angstrom
Be 4.2642 0.8138 0.0000
Be 6.0869 4.2642 0.0000
Mg 2.2214 1.2290 1.4254
Mg 5.6717 2.2214 1.4254
Mg 1.2290 4.6793 1.4254
Tc 0.0000 0.0000 0.0000
Mg 4.6793 5.6717 1.4254
Tc 3.4504 3.4504 0.0000
Be 0.8138 2.6365 0.0000
Be 2.6365 6.0869 0.0000
! DOS at the Fermi energy	0.4203	states/eV/atom

***

--- Q ---
! Mg2Be2Tc | the Alexandria database | PBE | optimized geometry; values from VASP
&SYSTEM
  ibrav = 0, nat = 10, ntyp = 3
/
ATOMIC_SPECIES
Be 9.01 Be.upf
Mg 24.30 Mg.upf
Tc 98.00 Tc.upf
CELL_PARAMETERS angstrom
-6.9358 -0.1589 -1.2915
1.2676 -2.4078 -6.5111
-0.1143 -2.5766 0.9306
ATOMIC_POSITIONS angstrom
Be -0.3456 -2.9098 -4.0597
Mg -1.4206 -2.1342 -6.0835
Be -2.1904 -1.7336 -1.0297
Be -5.4370 -2.2335 -2.8123
Be -3.5921 -3.4097 -5.8423
Tc 0.0000 0.0000 0.0000
Mg -5.1736 -1.6721 -5.2651
Mg -0.4947 -0.8945 -2.5375
Tc -2.8341 -1.2833 -3.9013
Mg -4.2476 -0.4325 -1.7191
! DOS at the Fermi energy	0.3782	states/eV/atom

***

The relative energies come out as P 0; Q 154, with values in meV/atom.

***

--- P ---
! MgBeTl2 | the Alexandria database | PBE | optimized geometry; values from VASP
&SYSTEM
  ibrav = 0, nat = 4, ntyp = 3
/
ATOMIC_SPECIES
Be 9.01 Be.upf
Tl 204.38 Tl.upf
Mg 24.30 Mg.upf
CELL_PARAMETERS angstrom
5.7202 -0.0495 0.0000
2.5699 5.1107 0.0000
-4.1450 -2.5306 3.0229
ATOMIC_POSITIONS angstrom
Be 4.1450 2.5306 0.0000
Tl 0.0000 0.0000 0.0000
Mg 2.8601 -0.0248 1.5115
Tl 1.2849 2.5553 1.5115
! DOS at the Fermi energy	0.5080	states/eV/atom

***

--- Q ---
! MgBeTl2 | the Alexandria database | PBE | optimized geometry; values from VASP
&SYSTEM
  ibrav = 0, nat = 4, ntyp = 3
/
ATOMIC_SPECIES
Be 9.01 Be.upf
Tl 204.38 Tl.upf
Mg 24.30 Mg.upf
CELL_PARAMETERS angstrom
-4.3112 -0.0159 -2.7197
-0.9319 -3.7912 -3.2775
-3.6452 -3.4137 1.0213
ATOMIC_POSITIONS angstrom
Be -4.4441 -3.6104 -2.4880
Tl 0.0000 0.0000 0.0000
Mg -6.6662 -5.4156 -3.7320
Tl -2.2221 -1.8052 -1.2440
! DOS at the Fermi energy	0.5651	states/eV/atom

***

The relative energies come out as P 0; Q 86, with values in meV/atom.

***

--- P ---
! MgBeTl2 | the Alexandria database | PBE | optimized geometry; values from VASP
&SYSTEM
  ibrav = 0, nat = 4, ntyp = 3
/
ATOMIC_SPECIES
Tl 204.38 Tl.upf
Mg 24.30 Mg.upf
Be 9.01 Be.upf
CELL_PARAMETERS angstrom
8.9909 0.1079 0.0641
8.3121 3.4287 0.0641
8.3121 1.6990 2.9789
ATOMIC_POSITIONS angstrom
Tl 13.0519 2.6678 1.5831
Mg 19.2113 3.9267 2.3303
Be 6.4038 1.3089 0.7768
Tl 25.3707 5.1857 3.0774
! DOS at the Fermi energy	0.2966	states/eV/atom

***

--- Q ---
! MgBeTl2 | the Alexandria database | PBE | optimized geometry; values from VASP
&SYSTEM
  ibrav = 0, nat = 4, ntyp = 3
/
ATOMIC_SPECIES
Tl 204.38 Tl.upf
Be 9.01 Be.upf
Mg 24.30 Mg.upf
CELL_PARAMETERS angstrom
-1.7805 4.1689 0.8566
-4.0341 1.5887 1.5766
1.0979 0.7013 5.9498
ATOMIC_POSITIONS angstrom
Tl -2.2389 3.1703 4.3534
Be -3.5376 4.8442 6.2873
Mg -1.1792 1.6147 2.0958
Tl 0.9784 0.7605 5.7879
! DOS at the Fermi energy	0.3890	states/eV/atom

***

The relative energies come out as P 0; Q 22, with values in meV/atom.

***

--- P ---
! MgBeTl2 | the Alexandria database | PBE | optimized geometry; values from VASP
&SYSTEM
  ibrav = 0, nat = 4, ntyp = 3
/
ATOMIC_SPECIES
Tl 204.38 Tl.upf
Mg 24.30 Mg.upf
Be 9.01 Be.upf
CELL_PARAMETERS angstrom
4.2801 0.0000 0.0000
0.0000 3.8401 -0.0214
0.0000 1.9482 5.4758
ATOMIC_POSITIONS angstrom
Tl 2.1400 1.6970 1.8413
Mg 2.1400 3.6200 4.1749
Be 0.0000 3.6121 2.4565
Tl 0.0000 5.5418 5.1634
! DOS at the Fermi energy	0.3770	states/eV/atom

***

--- Q ---
! MgBeTl2 | the Alexandria database | PBE | optimized geometry; values from VASP
&SYSTEM
  ibrav = 0, nat = 4, ntyp = 3
/
ATOMIC_SPECIES
Tl 204.38 Tl.upf
Mg 24.30 Mg.upf
Be 9.01 Be.upf
CELL_PARAMETERS angstrom
4.0439 0.0000 0.0000
0.0000 3.5547 0.0621
0.0000 1.9244 6.2697
ATOMIC_POSITIONS angstrom
Tl 0.0000 2.3435 3.0273
Tl 0.0000 0.3961 0.1385
Mg 2.0220 4.1094 4.7488
Be 2.0220 1.3698 1.5829
! DOS at the Fermi energy	0.3706	states/eV/atom

***

--- R ---
! MgBeTl2 | the Alexandria database | PBE | optimized geometry; values from VASP
&SYSTEM
  ibrav = 0, nat = 4, ntyp = 3
/
ATOMIC_SPECIES
Tl 204.38 Tl.upf
Be 9.01 Be.upf
Mg 24.30 Mg.upf
CELL_PARAMETERS angstrom
-1.9346 2.7678 -3.1574
-4.0299 -0.2254 2.2717
1.0702 3.2856 2.2244
ATOMIC_POSITIONS angstrom
Tl 0.0000 0.0000 0.0000
Tl -2.9823 1.2712 -0.4428
Be -0.4322 3.0267 -0.4665
Mg -1.4799 1.5301 2.2481
! DOS at the Fermi energy	0.2640	states/eV/atom

***

The relative energies come out as P 0; Q 15; R 49, with values in meV/atom.